Entry 1:
A plane-wave DFT calculation with PBE-GGA was carried out for a relaxed structure of CaCr2Re.

The structure belongs to space group Cmm2 (No. 35); the cell edges are 3.119, 4.425 and 8.984 Å and the angles 90.00°, 90.00° and 90.00°. The asymmetric unit holds Ca at (0.000, 0.000, 0.000), Cr at (0.000, 0.000, 0.484), Cr at (0.000, 0.500, 0.292) and Re at (0.000, 0.500, 0.710).

As for the size of the total moment: 0.00 μB per cell. As for the density of states at the Fermi level: 0.96 states/eV per atom. The formation energy comes out at 0.6176 eV per atom. The calculation puts the relative energy among the computed polymorphs at 134 meV per atom. Its crystal system is orthorhombic.



Entry 2:
A plane-wave DFT calculation with PBE-GGA was carried out for a relaxed structure of Mg2AsCl.

The structure belongs to space group Fm-3m (No. 225); the cell edges are 6.819, 6.819 and 6.819 Å and the angles 90.00°, 90.00° and 90.00°. The asymmetric unit holds Mg at (0.250, 0.250, 0.250), As at (0.000, 0.000, 0.000) and Cl at (0.000, 0.000, 0.500).

As for the size of the total moment: 0.00 μB per cell. As for the density of states at the Fermi level: 0.00 states/eV per atom. For the formation energy (no corrections), the calculation gives -0.634 eV/atom. The calculation puts the relative energy among the computed polymorphs at 315 meV per atom. Its crystal system is cubic.



Entry 3:
A plane-wave DFT calculation with PBE-GGA was carried out for a relaxed structure of Y2SiB.

The structure belongs to space group I-42d (No. 122); the cell edges are 7.232, 7.232 and 6.658 Å and the angles 90.00°, 90.00° and 90.00°. The asymmetric unit holds Y at (0.212, 0.750, 0.125), Si at (0.000, 0.000, 0.500) and B at (0.000, 0.000, 0.000).

As for the size of the total moment: 0.00 μB per cell. As for the density of states at the Fermi level: 0.89 states/eV per atom. For the formation energy (no corrections), the calculation gives 0.092 eV/atom. The calculation puts the relative energy among the computed polymorphs at 98 meV per atom. Its crystal system is tetragonal.